A plane-wave DFT calculation with PBE was carried out for SnW2Au2 after structural relaxation.

Its polymorph energy (0 for the lowest one) is 0 meV/atom. The density of states at the Fermi level comes out at 0.86 states/eV per atom. The volume comes out at 19.281 Å³/atom. The value obtained for the energy relative to the elements is 0.581 eV per atom. Its total DFT energy (no corrections) is -6.712 eV/atom.

a b c (Å): 7.024 7.024 3.908
angles (deg): 90.00 90.00 90.00
Atoms (fractional coordinates):
Sn1 0.000 0.000 0.000
Sn2 0.500 0.500 0.000
W1 0.124 0.376 0.000
W2 0.376 0.876 0.000
W3 0.624 0.124 0.000
W4 0.876 0.624 0.000
Au1 0.170 0.670 0.500
Au2 0.330 0.170 0.500
Au3 0.670 0.830 0.500
Au4 0.830 0.330 0.500